## In2AgAs (PBE-GGA)

Data for a relaxed structure of In2AgAs.

The electronic total energy comes out at -0.117 hartree per atom. The energy relative to the elements comes out at 0.047 eV per atom. Its energy relative to the lowest polymorph listed for this composition is 12 kJ/mol of formula units.

The structure belongs to space group Pmmm (No. 47); the cell edges are 2.9239, 3.7812 and 8.2317 Å and the angles 90.00°, 90.00° and 90.00°. The inequivalent atoms are In at (0.0000, 0.0000, 0.2359), Ag at (0.5000, 0.5000, 0.0000) and As at (0.0000, 0.5000, 0.5000).



## In2AgAs (PBE-GGA)

Data for a relaxed structure of In2AgAs.

The electronic total energy comes out at -0.115 hartree per atom. The energy relative to the elements comes out at 0.106 eV per atom. Its energy relative to the lowest polymorph listed for this composition is 35 kJ/mol of formula units.

The structure belongs to space group P4mm (No. 99); the cell edges are 3.2451, 3.2451 and 8.6317 Å and the angles 90.00°, 90.00° and 90.00°. The inequivalent atoms are In at (0.0000, 0.0000, 0.0000), In at (0.5000, 0.5000, 0.3000), Ag at (0.0000, 0.0000, 0.5362) and As at (0.5000, 0.5000, 0.7392).



## InAg2As (PBE-GGA)

Data for a relaxed structure of InAg2As.

The electronic total energy comes out at -0.117 hartree per atom. The energy relative to the elements comes out at 0.100 eV per atom.

The structure belongs to space group Pm (No. 6); the cell edges are 3.1438, 4.9634 and 5.2201 Å and the angles 90.00°, 94.28° and 90.00°. The inequivalent atoms are In at (0.0000, 0.0000, 0.0000), Ag at (0.4972, 0.0000, 0.4944), Ag at (0.9702, 0.5000, 0.3261) and As at (0.5564, 0.5000, 0.7817).



## InAg2As (PBE-GGA)

Data for a relaxed structure of InAg2As.

The electronic total energy comes out at -0.115 hartree per atom. The energy relative to the elements comes out at 0.156 eV per atom.

The structure belongs to space group R3m (No. 160, hexagonal axes); the cell edges are 3.2120, 3.2120 and 27.2400 Å and the angles 90.00°, 90.00° and 120.00°. The inequivalent atoms are In at (0.0000, 0.0000, 0.0000), Ag at (0.0000, 0.0000, 0.4997), Ag at (0.0000, 0.0000, 0.7516) and As at (0.0000, 0.0000, 0.2430).



## InAg2As (PBE-GGA)

Data for a relaxed structure of InAg2As.

The electronic total energy comes out at -0.116 hartree per atom. The energy relative to the elements comes out at 0.122 eV per atom.

The structure belongs to space group I-42d (No. 122); the cell edges are 4.2055, 4.2055 and 19.2306 Å and the angles 90.00°, 90.00° and 90.00°. The inequivalent atoms are In at (0.0000, 0.0000, 0.0000), Ag at (0.2438, 0.2500, 0.6250) and As at (0.0000, 0.0000, 0.5000).



## In2AgAs (PBE-GGA)

Data for a relaxed structure of In2AgAs.

The electronic total energy comes out at -0.118 hartree per atom. The energy relative to the elements comes out at 0.040 eV per atom. Its energy relative to the lowest polymorph listed for this composition is 10 kJ/mol of formula units.

The structure belongs to space group R-3m (No. 166, hexagonal axes); the cell edges are 4.1013, 4.1013 and 19.8935 Å and the angles 90.00°, 90.00° and 120.00°. The inequivalent atoms are In at (0.0000, 0.0000, 0.2471), Ag at (0.0000, 0.0000, 0.0000) and As at (0.0000, 0.0000, 0.5000).



## InAgAs (PBE-GGA)

Data for a relaxed structure of InAgAs.

The electronic total energy comes out at -0.120 hartree per atom. The energy relative to the elements comes out at 0.151 eV per atom.

The structure belongs to space group I4mm (No. 107); the cell edges are 3.0128, 3.0128 and 14.2635 Å and the angles 90.00°, 90.00° and 90.00°. The inequivalent atoms are In at (0.0000, 0.0000, 0.0000), Ag at (0.0000, 0.0000, 0.3315) and As at (0.0000, 0.0000, 0.6926).



## In2AgAs (PBE-GGA)

Data for a relaxed structure of In2AgAs.

The electronic total energy comes out at -0.116 hartree per atom. The energy relative to the elements comes out at 0.087 eV per atom. Its energy relative to the lowest polymorph listed for this composition is 28 kJ/mol of formula units.

The structure belongs to space group Cm (No. 8); the cell edges are 11.0168, 3.0847 and 5.5243 Å and the angles 90.00°, 106.16° and 90.00°. The inequivalent atoms are In at (0.0000, 0.0000, 0.0000), In at (0.2152, 0.0000, 0.6369), Ag at (0.4651, 0.0000, 0.5018) and As at (0.2643, 0.5000, 0.1644).



## In4AgAs (PBE-GGA)

Data for a relaxed structure of In4AgAs.

The electronic total energy comes out at -0.099 hartree per atom. The energy relative to the elements comes out at 0.371 eV per atom.

The structure belongs to space group F-43m (No. 216); the cell edges are 8.5771, 8.5771 and 8.5771 Å and the angles 90.00°, 90.00° and 90.00°. The inequivalent atoms are In at (0.1252, 0.1252, 0.1252), Ag at (0.2500, 0.2500, 0.7500) and As at (0.0000, 0.0000, 0.5000).



## InAg2As2 (PBE-GGA)

Data for a relaxed structure of InAg2As2.

The electronic total energy comes out at -0.125 hartree per atom. The energy relative to the elements comes out at 0.158 eV per atom. Its energy relative to the lowest polymorph listed for this composition is 31 kJ/mol of formula units.

The structure belongs to space group P4/mbm (No. 127); the cell edges are 8.3880, 8.3880 and 2.9589 Å and the angles 90.00°, 90.00° and 90.00°. The inequivalent atoms are In at (0.0000, 0.0000, 0.0000), Ag at (0.1429, 0.3571, 0.5000) and As at (0.1553, 0.6553, 0.0000).



## Rb2InAgAs2 (PBE-GGA)

Data for a relaxed structure of Rb2InAgAs2.

The electronic total energy comes out at -0.115 hartree per atom. The energy relative to the elements comes out at -0.338 eV per atom.

The structure belongs to space group Ibam (No. 72); the cell edges are 6.5537, 16.5858 and 6.6608 Å and the angles 90.00°, 90.00° and 90.00°. The inequivalent atoms are Rb at (0.2301, 0.1720, 0.0000), In at (0.0000, 0.5000, 0.2500), Ag at (0.0000, 0.0000, 0.2500) and As at (0.2335, 0.4040, 0.0000).



## RbInAgAs (PBE-GGA)

Data for a relaxed structure of RbInAgAs.

The electronic total energy comes out at -0.105 hartree per atom. The energy relative to the elements comes out at -0.054 eV per atom.

The structure belongs to space group P4/nmm (No. 129, origin choice 2); the cell edges are 4.5954, 4.5954 and 12.8184 Å and the angles 90.00°, 90.00° and 90.00°. The inequivalent atoms are Rb at (0.2500, 0.2500, 0.2256), In at (0.2500, 0.7500, 0.5000), Ag at (0.2500, 0.7500, 0.0000) and As at (0.2500, 0.2500, 0.6249).